Below is crystalline Tl3Au5 at its relaxed geometry, with properties calculated at the GGA-PBE level.

a = 10.342 Å, b = 7.690 Å, c = 9.380 Å
α = 85.82°, β = 98.96°, γ = 149.38°
Atoms (fractional coordinates):
Tl: 0.057 0.229 0.874
Tl: 0.304 0.963 0.927
Tl: 0.550 0.526 0.310
Tl: 0.695 0.037 0.073
Tl: 0.942 0.771 0.126
Tl: 0.449 0.474 0.690
Au: 0.980 0.795 0.517
Au: 0.549 0.873 0.467
Au: 0.549 0.963 0.764
Au: 0.450 0.127 0.532
Au: 0.019 0.205 0.483
Au: 0.024 0.500 0.662
Au: 0.975 0.500 0.338
Au: 0.450 0.037 0.236
Au: 0.819 0.607 0.801
Au: 0.180 0.393 0.199

SG	P-1, No. 2
DOS(E_F)	0.26	states/eV per atom
energy above the lowest structure with this stoichiometry	0.000	eV/atom
E_form	11	meV per atom
electronic total energy	-2.93	eV/atom